Entry 1:
Below is a relaxed Cs4LaI7 crystal, with properties calculated at the PBE level.

Geometry as extended XYZ:
```
12
Lattice="9.6901 -3.1784 0.0000 9.6901 3.1784 0.0000 -3.5718 0.0000 12.4807" Properties=species:S:1:pos:R:3 pbc="T T T"
Cs -0.4485 0.0000 2.5620
Cs 1.9482 0.0000 10.2952
Cs 13.8603 0.0000 2.1855
Cs 16.2570 0.0000 9.9186
La 7.9042 0.0000 6.2403
I -1.7859 0.0000 6.2403
I 2.7096 0.0000 0.4994
I 5.1818 0.0000 7.8455
I 6.4837 0.0000 3.4190
I 9.3247 0.0000 9.0616
I 10.6267 0.0000 4.6351
I 13.0988 0.0000 11.9813
```

Output
Its total magnetization is 0.005 μB per atom. As for the uncorrected formation energy: -18.36 eV per formula unit. Its total energy is -0.115 hartree per atom.

***

Entry 2:
Below is a relaxed Cs2LaI5 crystal, with properties calculated at the PBE level.

Geometry as extended XYZ:
```
16
Lattice="3.2424 -9.8515 0.0000 3.2424 9.8515 0.0000 0.0000 0.0000 17.3038" Properties=species:S:1:pos:R:3 pbc="T T T"
Cs 3.2424 7.0383 9.7820
Cs 3.2424 7.0383 16.1737
Cs 3.2424 -7.0383 1.1301
Cs 3.2424 -7.0383 7.5218
La 3.2424 6.7320 4.3260
La 3.2424 -6.7320 12.9779
I 3.2424 8.9852 2.1693
I 3.2424 8.9852 6.4826
I 3.2424 4.5675 1.9655
I 3.2424 4.5675 6.6864
I 3.2424 3.5279 12.9779
I 3.2424 -3.5279 4.3260
I 3.2424 -4.5675 10.6174
I 3.2424 -4.5675 15.3383
I 3.2424 -8.9852 10.8213
I 3.2424 -8.9852 15.1345
```

Output
Its total magnetization is 0.000 μB per atom. As for the uncorrected formation energy: -12.19 eV per formula unit. Its total energy is -0.122 hartree per atom. The offset from the most stable computed form comes out at 47 meV per atom.